(1)
Computed, not measured: a geometry-optimized TbPaV4 structure at the PBE-GGA level of DFT.

Cell and atoms, written as extended XYZ:
```
6
Lattice="0.000 3.760 3.760 3.760 0.000 3.760 3.760 3.760 0.000" Properties=species:S:1:pos:R:3 pbc="T T T"
Tb 0.000 0.000 0.000
Pa 5.641 5.641 5.641
V 2.834 2.834 2.834
V 4.687 4.687 2.834
V 4.687 2.834 4.687
V 2.834 4.687 4.687
```

Computed properties:
magnetic moment	0.00	μB/f.u.
space-group type	No. 216
formation energy	0.19	eV/atom

***

(2)
Computed, not measured: a geometry-optimized TbYPa structure at the PBE-GGA level of DFT.

Cell and atoms, written as extended XYZ:
```
6
Lattice="1.673 -10.344 0.000 1.673 10.344 0.000 0.000 0.000 5.162" Properties=species:S:1:pos:R:3 pbc="T T T"
Tb 1.673 6.045 3.871
Tb 1.673 -6.045 1.290
Y 1.673 2.427 3.871
Y 1.673 -2.427 1.290
Pa 1.673 9.688 3.871
Pa 1.673 -9.688 1.290
```

Computed properties:
magnetic moment	0.00	μB/f.u.
polymorph energy (0 for the lowest one)	0.0312	eV/atom
space-group type	No. 63
formation energy	0.17	eV/atom

***

(3)
Computed, not measured: a geometry-optimized TbYPa structure at the PBE-GGA level of DFT.

Cell and atoms, written as extended XYZ:
```
3
Lattice="-1.703 1.703 7.616 1.703 -1.703 7.616 1.703 1.703 -7.616" Properties=species:S:1:pos:R:3 pbc="T T T"
Tb 0.000 0.000 0.000
Y 0.000 0.000 4.764
Pa 0.000 0.000 9.984
```

Computed properties:
magnetic moment	0.12	μB/f.u.
polymorph energy (0 for the lowest one)	0.0274	eV/atom
space-group type	No. 107
formation energy	0.16	eV/atom

***

(4)
Computed, not measured: a geometry-optimized TbYPa structure at the PBE-GGA level of DFT.

Cell and atoms, written as extended XYZ:
```
3
Lattice="3.436 0.000 0.000 -1.718 2.976 0.000 0.000 0.000 8.566" Properties=species:S:1:pos:R:3 pbc="T T T"
Tb 0.000 0.000 0.000
Y 1.718 0.992 3.095
Pa 0.000 1.984 5.839
```

Computed properties:
magnetic moment	0.00	μB/f.u.
polymorph energy (0 for the lowest one)	0.0000	eV/atom
space-group type	No. 156
formation energy	0.13	eV/atom

***

(5)
Computed, not measured: a geometry-optimized TbPaZn17 structure at the PBE-GGA level of DFT.

Cell and atoms, written as extended XYZ:
```
19
Lattice="4.490 2.592 4.383 -4.490 2.592 4.383 0.000 -5.184 4.383" Properties=species:S:1:pos:R:3 pbc="T T T"
Tb 0.000 0.000 0.000
Pa 0.000 0.000 8.850
Zn -1.330 -2.306 4.427
Zn -2.662 0.001 4.427
Zn -2.293 -1.324 6.813
Zn 0.000 0.000 3.117
Zn 1.330 -2.306 4.427
Zn -1.332 2.305 4.427
Zn 0.000 -2.584 6.626
Zn -2.238 1.292 6.626
Zn 0.000 0.000 5.749
Zn -2.164 -1.250 10.805
Zn 2.662 0.001 4.427
Zn 1.332 2.305 4.427
Zn 2.293 -1.324 6.813
Zn 0.000 2.648 6.813
Zn 2.238 1.292 6.626
Zn 2.164 -1.250 10.805
Zn 0.000 2.499 10.805
```

Computed properties:
magnetic moment	1.02	μB/f.u.
space-group type	No. 160
formation energy	-0.17	eV/atom

***

(6)
Computed, not measured: a geometry-optimized TbPaZn2 structure at the PBE-GGA level of DFT.

Cell and atoms, written as extended XYZ:
```
4
Lattice="0.000 3.549 3.549 3.549 0.000 3.549 3.549 3.549 0.000" Properties=species:S:1:pos:R:3 pbc="T T T"
Tb 0.000 0.000 0.000
Pa 3.549 3.549 3.549
Zn 1.775 1.775 1.775
Zn 5.324 5.324 5.324
```

Computed properties:
magnetic moment	0.00	μB/f.u.
polymorph energy (0 for the lowest one)	0.0680	eV/atom
space-group type	No. 225
formation energy	-0.04	eV/atom

***

(7)
Computed, not measured: a geometry-optimized TbPaZn2 structure at the PBE-GGA level of DFT.

Cell and atoms, written as extended XYZ:
```
4
Lattice="5.246 0.000 0.000 0.000 5.246 0.000 0.000 0.000 3.232" Properties=species:S:1:pos:R:3 pbc="T T T"
Tb 0.000 0.000 0.000
Pa 2.623 2.623 0.000
Zn 0.000 2.623 1.616
Zn 2.623 0.000 1.616
```

Computed properties:
magnetic moment	0.74	μB/f.u.
polymorph energy (0 for the lowest one)	0.0451	eV/atom
space-group type	No. 123
formation energy	-0.06	eV/atom

***

(8)
Computed, not measured: a geometry-optimized TbPaZn4 structure at the PBE-GGA level of DFT.

Cell and atoms, written as extended XYZ:
```
6
Lattice="0.000 3.852 3.852 3.852 0.000 3.852 3.852 3.852 0.000" Properties=species:S:1:pos:R:3 pbc="T T T"
Tb 0.000 0.000 0.000
Pa 5.778 5.778 5.778
Zn 2.888 2.888 2.888
Zn 4.816 4.816 2.888
Zn 4.816 2.888 4.816
Zn 2.888 4.816 4.816
```

Computed properties:
magnetic moment	0.00	μB/f.u.
polymorph energy (0 for the lowest one)	0.0545	eV/atom
space-group type	No. 216
formation energy	-0.16	eV/atom

***

(9)
Computed, not measured: a geometry-optimized Tb2PaZn structure at the PBE-GGA level of DFT.

Cell and atoms, written as extended XYZ:
```
4
Lattice="1.637 0.945 11.313 -1.637 0.945 11.313 0.000 -1.890 11.313" Properties=species:S:1:pos:R:3 pbc="T T T"
Tb 0.000 0.000 3.261
Tb 0.000 0.000 30.677
Pa 0.000 0.000 0.000
Zn 0.000 0.000 16.969
```

Computed properties:
magnetic moment	0.00	μB/f.u.
polymorph energy (0 for the lowest one)	0.2994	eV/atom
space-group type	No. 166
formation energy	0.24	eV/atom

***

(10)
Computed, not measured: a geometry-optimized Tb2PaZn structure at the PBE-GGA level of DFT.

Cell and atoms, written as extended XYZ:
```
4
Lattice="3.418 0.000 0.000 0.000 3.418 0.000 0.000 0.000 8.696" Properties=species:S:1:pos:R:3 pbc="T T T"
Tb 0.000 0.000 1.947
Tb 0.000 0.000 6.749
Pa 1.709 1.709 4.348
Zn 1.709 1.709 0.000
```

Computed properties:
magnetic moment	0.00	μB/f.u.
polymorph energy (0 for the lowest one)	0.0000	eV/atom
space-group type	No. 123
formation energy	-0.06	eV/atom

***

(11)
Computed, not measured: a geometry-optimized TbPaZn4 structure at the PBE-GGA level of DFT.

Cell and atoms, written as extended XYZ:
```
6
Lattice="3.300 0.000 0.000 0.000 4.547 0.000 0.000 0.000 7.877" Properties=species:S:1:pos:R:3 pbc="T T T"
Tb 0.000 0.000 0.000
Pa 0.000 2.273 3.939
Zn 1.650 0.000 2.619
Zn 1.650 0.000 5.259
Zn 1.650 2.273 1.310
Zn 1.650 2.273 6.567
```

Computed properties:
magnetic moment	0.28	μB/f.u.
polymorph energy (0 for the lowest one)	0.0000	eV/atom
space-group type	No. 47
formation energy	-0.21	eV/atom

***

(12)
Computed, not measured: a geometry-optimized TbPaZn2 structure at the PBE-GGA level of DFT.

Cell and atoms, written as extended XYZ:
```
4
Lattice="1.658 0.957 9.655 -1.658 0.957 9.655 0.000 -1.915 9.655" Properties=species:S:1:pos:R:3 pbc="T T T"
Tb 0.000 0.000 0.000
Pa 0.000 0.000 14.483
Zn 0.000 0.000 7.271
Zn 0.000 0.000 21.695
```

Computed properties:
magnetic moment	0.00	μB/f.u.
polymorph energy (0 for the lowest one)	0.1537	eV/atom
space-group type	No. 166
formation energy	0.05	eV/atom

***

(13)
Computed, not measured: a geometry-optimized TbPaZn2 structure at the PBE-GGA level of DFT.

Cell and atoms, written as extended XYZ:
```
4
Lattice="3.210 0.000 0.000 0.000 3.210 0.000 0.000 0.000 8.416" Properties=species:S:1:pos:R:3 pbc="T T T"
Tb 0.000 0.000 0.000
Pa 0.000 0.000 4.208
Zn 1.605 1.605 2.089
Zn 1.605 1.605 6.327
```

Computed properties:
magnetic moment	0.61	μB/f.u.
polymorph energy (0 for the lowest one)	0.0000	eV/atom
space-group type	No. 123
formation energy	-0.11	eV/atom

***

(14)
Computed, not measured: a geometry-optimized Tb5PaZn4 structure at the PBE-GGA level of DFT.

Cell and atoms, written as extended XYZ:
```
10
Lattice="3.542 0.000 0.000 0.000 3.542 0.000 0.000 0.000 19.099" Properties=species:S:1:pos:R:3 pbc="T T T"
Tb 0.000 0.000 0.000
Tb 0.000 0.000 3.581
Tb 0.000 0.000 7.260
Tb 0.000 0.000 11.839
Tb 0.000 0.000 15.518
Pa 1.771 1.771 9.549
Zn 1.771 1.771 1.776
Zn 1.771 1.771 5.435
Zn 1.771 1.771 13.664
Zn 1.771 1.771 17.323
```

Computed properties:
magnetic moment	0.02	μB/f.u.
space-group type	No. 123
formation energy	-0.21	eV/atom